#1
# Pm4Pr8Dy3

Crystalline Pm4Pr8Dy3 at its relaxed geometry (GGA-PBE, Alexandria).

Cell and atoms, written as POSCAR:
```
Pm4Pr8Dy3
1.0
-5.056 4.284 -2.068
-1.757 -3.611 8.507
6.712 4.570 4.750
Pm Pr Dy
4 8 3
direct
0.500 0.000 0.000
0.000 0.500 0.000
0.000 0.000 0.000
0.000 0.000 0.500
0.252 0.247 0.247
0.000 0.703 0.297
0.799 0.297 0.297
0.500 0.753 0.247
0.500 0.247 0.753
0.201 0.703 0.703
0.000 0.297 0.703
0.748 0.753 0.753
0.500 0.500 0.000
0.500 0.000 0.500
0.500 0.500 0.500
```

#2
# Pm4Pr8Dy3

Crystalline Pm4Pr8Dy3 at its relaxed geometry (GGA-PBE, Alexandria).

Cell and atoms, written as POSCAR:
```
Pm4Pr8Dy3
1.0
6.261 0.000 3.377
2.220 5.855 3.377
-2.637 -1.820 12.383
Pm Pr Dy
4 8 3
direct
0.000 0.000 0.000
0.336 0.336 0.992
0.500 0.500 0.500
0.664 0.664 0.008
0.246 0.246 0.263
0.247 0.750 0.253
0.750 0.750 0.253
0.750 0.247 0.253
0.754 0.754 0.737
0.753 0.250 0.747
0.250 0.250 0.747
0.250 0.753 0.747
0.500 0.000 0.500
0.000 0.000 0.500
0.000 0.500 0.500
```

Stability check: which of them is most stable? #2.

#1
# Pm12PrDy7

Crystalline Pm12PrDy7 at its relaxed geometry (GGA-PBE, Alexandria).

Cell and atoms, written as POSCAR:
```
Pm12PrDy7
1.0
9.416 -0.144 -0.217
-2.757 9.004 -0.217
-2.757 -3.668 8.226
Pm Pr Dy
12 1 7
direct
0.777 0.330 0.624
0.670 0.376 0.223
0.408 0.050 0.297
0.950 0.703 0.592
0.376 0.223 0.670
0.703 0.592 0.950
0.297 0.408 0.050
0.624 0.777 0.330
0.050 0.297 0.408
0.592 0.950 0.703
0.330 0.624 0.777
0.223 0.670 0.376
0.000 0.000 0.000
0.105 0.679 0.991
0.321 0.009 0.895
0.009 0.895 0.321
0.500 0.500 0.500
0.991 0.105 0.679
0.679 0.991 0.105
0.895 0.321 0.009
```

#2
# Pm12PrDy7

Crystalline Pm12PrDy7 at its relaxed geometry (GGA-PBE, Alexandria).

Cell and atoms, written as POSCAR:
```
Pm12PrDy7
1.0
9.414 0.000 -3.328
-4.707 8.153 -3.328
0.000 0.000 9.985
Pm Pr Dy
12 1 7
direct
0.492 0.747 0.745
0.002 0.747 0.255
0.508 0.253 0.255
0.998 0.253 0.745
0.745 0.998 0.253
0.745 0.492 0.747
0.255 0.002 0.747
0.255 0.508 0.253
0.747 0.745 0.492
0.253 0.255 0.508
0.747 0.255 0.002
0.253 0.745 0.998
0.000 0.000 0.000
0.500 0.500 0.000
0.000 0.500 0.500
0.500 0.000 0.500
0.500 0.500 0.500
0.000 0.000 0.500
0.500 0.000 0.000
0.000 0.500 0.000
```

Stability check: which of them is most stable? #1.